Record 1
# Tl2AsI5 (PBE, relaxed)
# **Formation energy without anion corrections**: -0.395 eV/atom
# **Energy above the most stable polymorph in this dataset**: 0 meV per atom
data_Tl2AsI5
_chemical_formula_sum 'Tl2 As1 I5'
_cell_length_a 7.112
_cell_length_b 7.908
_cell_length_c 8.540
_cell_angle_alpha 65.52
_cell_angle_beta 67.95
_cell_angle_gamma 67.11
_space_group_name_H-M_alt 'P 1'
_space_group_IT_number 1
loop_
_space_group_symop_operation_xyz
'x,y,z'
loop_
_atom_site_label
_atom_site_fract_x
_atom_site_fract_y
_atom_site_fract_z
_atom_site_occupancy
Tl1 0.000 0.000 0.000 1
Tl2 0.458 0.654 0.483 1
As1 0.186 0.317 0.249 1
I1 0.003 0.628 0.402 1
I2 0.091 0.574 0.921 1
I3 0.352 0.074 0.566 1
I4 0.454 0.019 0.077 1
I5 0.842 0.199 0.381 1

Record 2
# Ag2TeI (PBE, relaxed)
# **Formation energy without anion corrections**: -0.072 eV/atom
# **Energy above the most stable polymorph in this dataset**: 57 meV per atom
data_Ag2TeI
_chemical_formula_sum 'Ag4 Te2 I2'
_cell_length_a 4.406
_cell_length_b 6.481
_cell_length_c 8.380
_cell_angle_alpha 76.96
_cell_angle_beta 83.35
_cell_angle_gamma 77.51
_space_group_name_H-M_alt 'P 1'
_space_group_IT_number 1
loop_
_space_group_symop_operation_xyz
'x,y,z'
loop_
_atom_site_label
_atom_site_fract_x
_atom_site_fract_y
_atom_site_fract_z
_atom_site_occupancy
Ag1 0.000 0.000 0.000 1
Ag2 0.026 0.515 0.915 1
Ag3 0.160 0.894 0.665 1
Ag4 0.238 0.327 0.446 1
Te1 0.522 0.181 0.789 1
Te2 0.734 0.574 0.624 1
I1 0.421 0.611 0.127 1
I2 0.865 0.058 0.343 1

Record 3
# BaHfAs2S8 (PBE, relaxed)
# **Formation energy without anion corrections**: -0.689 eV/atom
data_BaHfAs2S8
_chemical_formula_sum 'Ba1 Hf1 As2 S8'
_cell_length_a 6.2061
_cell_length_b 6.2061
_cell_length_c 8.9754
_cell_angle_alpha 90.00
_cell_angle_beta 90.00
_cell_angle_gamma 120.00
_space_group_name_H-M_alt 'P -3'
_space_group_IT_number 147
loop_
_space_group_symop_operation_xyz
'x,y,z'
'-x,-y,-z'
'-y,x-y,z'
'y,-x+y,-z'
'-x+y,-x,z'
'x-y,x,-z'
loop_
_atom_site_label
_atom_site_fract_x
_atom_site_fract_y
_atom_site_fract_z
_atom_site_occupancy
Ba1 0.0000 0.0000 0.0000 1
Hf1 0.0000 0.0000 0.5000 1
As1 0.3333 0.6667 0.7395 1
S1 0.0126 0.6811 0.3278 1
S2 0.3333 0.6667 0.9769 1

Record 4
# CaAl3Sb (PBE, relaxed)
# **Formation energy without anion corrections**: 1.147 eV/atom
# **Energy above the most stable polymorph in this dataset**: 600 meV per atom
data_CaAl3Sb
_chemical_formula_sum 'Ca1 Al3 Sb1'
_cell_length_a 5.533
_cell_length_b 5.533
_cell_length_c 5.533
_cell_angle_alpha 90.00
_cell_angle_beta 90.00
_cell_angle_gamma 90.00
_space_group_name_H-M_alt 'P m -3 m'
_space_group_IT_number 221
_space_group_name_Hall '-P 4 2 3'
loop_
_atom_site_label
_atom_site_fract_x
_atom_site_fract_y
_atom_site_fract_z
_atom_site_occupancy
Ca1 0.000 0.000 0.000 1
Al1 0.000 0.000 0.500 1
Sb1 0.500 0.500 0.500 1

Record 5
# ThUTl2S6 (PBE, relaxed)
# **Formation energy without anion corrections**: -1.124 eV/atom
data_ThUTl2S6
_chemical_formula_sum 'Th2 U2 Tl4 S12'
_cell_length_a 7.319
_cell_length_b 7.403
_cell_length_c 12.736
_cell_angle_alpha 90.00
_cell_angle_beta 125.03
_cell_angle_gamma 90.00
_space_group_name_H-M_alt 'P 1 21/c 1'
_space_group_IT_number 14
loop_
_space_group_symop_operation_xyz
'x,y,z'
'-x,-y,-z'
'-x,y+1/2,-z+1/2'
'x,-y+1/2,z+1/2'
loop_
_atom_site_label
_atom_site_fract_x
_atom_site_fract_y
_atom_site_fract_z
_atom_site_occupancy
Th1 0.000 0.000 0.000 1
U1 0.500 0.000 0.500 1
Tl1 0.241 0.044 0.749 1
S1 0.182 0.200 0.463 1
S2 0.265 0.719 0.462 1
S3 0.334 0.011 0.260 1

Record 6
# LaDy6Tm8 (PBE, relaxed)
# **Energy of formation from the pure elements**: 0.2242 eV per atom
data_LaDy6Tm8
_chemical_formula_sum 'La1 Dy6 Tm8'
_cell_length_a 9.4139
_cell_length_b 9.4139
_cell_length_c 6.3880
_cell_angle_alpha 90.00
_cell_angle_beta 90.00
_cell_angle_gamma 120.00
_space_group_name_H-M_alt 'P -3'
_space_group_IT_number 147
loop_
_space_group_symop_operation_xyz
'x,y,z'
'-x,-y,-z'
'-y,x-y,z'
'y,-x+y,-z'
'-x+y,-x,z'
'x-y,x,-z'
loop_
_atom_site_label
_atom_site_fract_x
_atom_site_fract_y
_atom_site_fract_z
_atom_site_occupancy
La1 0.0000 0.0000 0.0000 1
Dy1 0.1043 0.6822 0.0860 1
Tm1 0.0242 0.3394 0.4115 1
Tm2 0.3333 0.6667 0.6548 1

Record 7
# ZrRu2Br (PBE, relaxed)
# **Formation energy without anion corrections**: 0.499 eV/atom
# **Energy above the most stable polymorph in this dataset**: 512 meV per atom
data_ZrRu2Br
_chemical_formula_sum 'Zr4 Ru8 Br4'
_cell_length_a 6.496
_cell_length_b 6.496
_cell_length_c 6.496
_cell_angle_alpha 90.00
_cell_angle_beta 90.00
_cell_angle_gamma 90.00
_space_group_name_H-M_alt 'F -4 3 m'
_space_group_IT_number 216
_space_group_name_Hall 'F -4 2 3'
loop_
_atom_site_label
_atom_site_fract_x
_atom_site_fract_y
_atom_site_fract_z
_atom_site_occupancy
Zr1 0.000 0.000 0.000 1
Ru1 0.000 0.000 0.500 1
Ru2 0.250 0.250 0.250 1
Br1 0.250 0.250 0.750 1

Record 8
# NaLi5In4 (PBE, relaxed)
# **Energy of formation from the pure elements**: -0.2177 eV per atom
data_NaLi5In4
_chemical_formula_sum 'Na1 Li5 In4'
_cell_length_a 3.392
_cell_length_b 3.392
_cell_length_c 18.292
_cell_angle_alpha 90.00
_cell_angle_beta 90.00
_cell_angle_gamma 90.00
_space_group_name_H-M_alt 'P 4/m m m'
_space_group_IT_number 123
_space_group_name_Hall '-P 4 2'
loop_
_atom_site_label
_atom_site_fract_x
_atom_site_fract_y
_atom_site_fract_z
_atom_site_occupancy
Na1 0.000 0.000 0.000 1
Li1 0.500 0.500 0.130 1
Li2 0.500 0.500 0.316 1
Li3 0.500 0.500 0.500 1
In1 0.000 0.000 0.220 1
In2 0.000 0.000 0.409 1

Record 9
# TiTlI4 (PBE, relaxed)
# **Formation energy without anion corrections**: -0.636 eV/atom
# **Energy above the most stable polymorph in this dataset**: 0 meV per atom
data_TiTlI4
_chemical_formula_sum 'Ti2 Tl2 I8'
_cell_length_a 8.698
_cell_length_b 8.910
_cell_length_c 9.772
_cell_angle_alpha 90.00
_cell_angle_beta 90.00
_cell_angle_gamma 90.00
_space_group_name_H-M_alt 'P 2 2 2'
_space_group_IT_number 16
loop_
_space_group_symop_operation_xyz
'x,y,z'
'-x,-y,z'
'x,-y,-z'
'-x,y,-z'
loop_
_atom_site_label
_atom_site_fract_x
_atom_site_fract_y
_atom_site_fract_z
_atom_site_occupancy
Ti1 0.000 0.000 0.000 1
Ti2 0.000 0.500 0.500 1
Tl1 0.000 0.000 0.500 1
Tl2 0.500 0.000 0.000 1
I1 0.190 0.322 0.634 1
I2 0.192 0.155 0.160 1

Record 10
# LiNdTmCo (PBE, relaxed)
# **Energy of formation from the pure elements**: -0.0318 eV per atom
data_LiNdTmCo
_chemical_formula_sum 'Li4 Nd4 Tm4 Co4'
_cell_length_a 6.948
_cell_length_b 6.948
_cell_length_c 6.948
_cell_angle_alpha 90.00
_cell_angle_beta 90.00
_cell_angle_gamma 90.00
_space_group_name_H-M_alt 'F -4 3 m'
_space_group_IT_number 216
_space_group_name_Hall 'F -4 2 3'
loop_
_atom_site_label
_atom_site_fract_x
_atom_site_fract_y
_atom_site_fract_z
_atom_site_occupancy
Li1 0.000 0.000 0.000 1
Nd1 0.250 0.250 0.250 1
Tm1 0.250 0.250 0.750 1
Co1 0.000 0.000 0.500 1

Record 11
# LaInAgPt2 (PBE, relaxed)
# **Energy of formation from the pure elements**: 0.4180 eV per atom
data_LaInAgPt2
_chemical_formula_sum 'La1 In1 Ag1 Pt2'
_cell_length_a 5.096
_cell_length_b 5.096
_cell_length_c 5.230
_cell_angle_alpha 90.00
_cell_angle_beta 90.00
_cell_angle_gamma 90.00
_space_group_name_H-M_alt 'P 4/m m m'
_space_group_IT_number 123
_space_group_name_Hall '-P 4 2'
loop_
_atom_site_label
_atom_site_fract_x
_atom_site_fract_y
_atom_site_fract_z
_atom_site_occupancy
La1 0.000 0.000 0.000 1
In1 0.500 0.500 0.000 1
Ag1 0.000 0.000 0.500 1
Pt1 0.000 0.500 0.500 1

Record 12
# Rb4Ac3CuO8 (PBE, relaxed)
# **Formation energy without anion corrections**: -2.012 eV/atom
data_Rb4Ac3CuO8
_chemical_formula_sum 'Rb8 Ac6 Cu2 O16'
_cell_length_a 13.668
_cell_length_b 7.215
_cell_length_c 7.629
_cell_angle_alpha 90.00
_cell_angle_beta 117.10
_cell_angle_gamma 90.00
_space_group_name_H-M_alt 'C 1 2/m 1'
_space_group_IT_number 12
loop_
_space_group_symop_operation_xyz
'x,y,z'
'-x,-y,-z'
'-x,y,-z'
'x,-y,z'
'x+1/2,y+1/2,z'
'-x+1/2,-y+1/2,-z'
'-x+1/2,y+1/2,-z'
'x+1/2,-y+1/2,z'
loop_
_atom_site_label
_atom_site_fract_x
_atom_site_fract_y
_atom_site_fract_z
_atom_site_occupancy
Rb1 0.000 0.000 0.000 1
Rb2 0.000 0.500 0.000 1
Rb3 0.250 0.250 0.000 1
Ac1 0.000 0.000 0.500 1
Ac2 0.250 0.250 0.500 1
Cu1 0.000 0.500 0.500 1
O1 0.034 0.304 0.359 1
O2 0.207 0.000 0.686 1
O3 0.208 0.000 0.260 1